Entry 1:
{"formula": "LaWN3", "functional": "PBE", "state": "optimized geometry", "e_form_raw_mev_per_atom": -780, "total_magnetization_mub_per_cell": 0.000, "spacegroup": "Cm, No. 8", "mass_density_g_cm3": 9.3, "volume_a3_per_cell": 131, "dos_at_fermi_per_ev_cell": 1.793, "lattice_angstrom": [[4.232, -4.100, 0.000], [4.232, 4.100, 0.000], [-0.559, 0.000, 3.767]], "species": ["La", "La", "W", "W", "N", "N", "N", "N", "N", "N"], "frac_coords": [[0.240, 0.760, 0.000], [0.760, 0.240, 0.000], [0.281, 0.281, 0.398], [0.751, 0.751, 0.480], [0.026, 0.527, 0.442], [0.059, 0.059, 0.588], [0.190, 0.190, 0.871], [0.523, 0.523, 0.430], [0.527, 0.026, 0.442], [0.826, 0.826, 0.995]]}


Entry 2:
{"formula": "La2W2N7", "functional": "PBE", "state": "optimized geometry", "e_form_raw_mev_per_atom": -686, "total_magnetization_mub_per_cell": 0.989, "spacegroup": "P-1, No. 2", "mass_density_g_cm3": 7.3, "volume_a3_per_cell": 169, "lattice_angstrom": [[4.411, 0.000, 0.000], [0.617, 6.124, 0.000], [1.887, 0.810, 6.257]], "species": ["La", "La", "W", "W", "N", "N", "N", "N", "N", "N", "N"], "frac_coords": [[0.162, 0.358, 0.237], [0.838, 0.642, 0.763], [0.486, 0.811, 0.265], [0.514, 0.189, 0.735], [0.080, 0.736, 0.354], [0.331, 0.451, 0.838], [0.476, 0.904, 0.566], [0.500, 0.000, 0.000], [0.524, 0.096, 0.434], [0.669, 0.549, 0.162], [0.920, 0.264, 0.646]]}


Entry 3:
{"formula": "LaWN3", "functional": "PBE", "state": "optimized geometry", "e_form_raw_mev_per_atom": -984, "total_magnetization_mub_per_cell": 0.000, "spacegroup": "Pnma, No. 62", "mass_density_g_cm3": 9.4, "volume_a3_per_cell": 258, "dos_at_fermi_per_ev_cell": 0.799, "lattice_angstrom": [[5.662, 0.000, 0.000], [0.000, 7.996, 0.000], [0.000, 0.000, 5.689]], "species": ["La", "La", "La", "La", "W", "W", "W", "W", "N", "N", "N", "N", "N", "N", "N", "N", "N", "N", "N", "N"], "frac_coords": [[0.018, 0.250, 0.002], [0.482, 0.750, 0.502], [0.518, 0.250, 0.498], [0.982, 0.750, 0.998], [0.000, 0.000, 0.500], [0.000, 0.500, 0.500], [0.500, 0.000, 0.000], [0.500, 0.500, 0.000], [0.005, 0.750, 0.442], [0.227, 0.530, 0.770], [0.227, 0.970, 0.770], [0.273, 0.030, 0.270], [0.273, 0.470, 0.270], [0.495, 0.250, 0.942], [0.505, 0.750, 0.058], [0.727, 0.530, 0.730], [0.727, 0.970, 0.730], [0.773, 0.030, 0.230], [0.773, 0.470, 0.230], [0.995, 0.250, 0.558]]}


Entry 4:
{"formula": "LaWN3", "functional": "PBE", "state": "optimized geometry", "e_form_raw_mev_per_atom": -789, "total_magnetization_mub_per_cell": 0.000, "spacegroup": "P1, No. 1", "mass_density_g_cm3": 8.9, "volume_a3_per_cell": 137, "dos_at_fermi_per_ev_cell": 2.527, "lattice_angstrom": [[5.715, 0.000, 0.000], [-0.414, 5.702, 0.000], [-2.527, -2.953, 4.197]], "species": ["La", "La", "W", "W", "N", "N", "N", "N", "N", "N"], "frac_coords": [[0.000, 0.000, 0.000], [0.481, 0.504, 0.001], [0.304, 0.732, 0.539], [0.736, 0.245, 0.481], [0.029, 0.519, 0.020], [0.062, 0.418, 0.501], [0.493, 0.002, 0.007], [0.558, 0.507, 0.557], [0.583, 0.958, 0.522], [0.972, 0.746, 0.229]]}


Entry 5:
{"formula": "LaWN3", "functional": "PBE", "state": "optimized geometry", "e_form_raw_mev_per_atom": -453, "total_magnetization_mub_per_cell": 1.141, "spacegroup": "P2_1/m, No. 11", "mass_density_g_cm3": 8.5, "volume_a3_per_cell": 143, "dos_at_fermi_per_ev_cell": 4.497, "lattice_angstrom": [[3.975, 0.000, 0.000], [0.000, 4.659, 0.000], [-1.986, 0.000, 7.719]], "species": ["La", "La", "W", "W", "N", "N", "N", "N", "N", "N"], "frac_coords": [[0.143, 0.250, 0.286], [0.857, 0.750, 0.714], [0.450, 0.250, 0.899], [0.550, 0.750, 0.101], [0.053, 0.750, 0.107], [0.318, 0.109, 0.636], [0.318, 0.391, 0.636], [0.682, 0.609, 0.364], [0.682, 0.891, 0.364], [0.947, 0.250, 0.893]]}


Entry 6:
{"formula": "LaWN3", "functional": "PBE", "state": "optimized geometry", "e_form_raw_mev_per_atom": 198, "total_magnetization_mub_per_cell": 0.000, "spacegroup": "P4mm, No. 99", "mass_density_g_cm3": 8.1, "volume_a3_per_cell": 75, "dos_at_fermi_per_ev_cell": 2.930, "lattice_angstrom": [[3.554, 0.000, 0.000], [0.000, 3.554, 0.000], [0.000, 0.000, 5.929]], "species": ["La", "W", "N", "N", "N"], "frac_coords": [[0.000, 0.000, 0.000], [0.500, 0.500, 0.419], [0.000, 0.000, 0.631], [0.000, 0.500, 0.272], [0.500, 0.000, 0.272]]}


Entry 7:
{"formula": "LaWN3", "functional": "PBE", "state": "optimized geometry", "e_form_raw_mev_per_atom": -570, "total_magnetization_mub_per_cell": 0.499, "spacegroup": "P6_3/mmc, No. 194", "mass_density_g_cm3": 8.3, "volume_a3_per_cell": 146, "dos_at_fermi_per_ev_cell": 5.545, "lattice_angstrom": [[3.660, 0.000, 0.000], [-1.830, 3.170, 0.000], [0.000, 0.000, 12.624]], "species": ["La", "La", "W", "W", "N", "N", "N", "N", "N", "N"], "frac_coords": [[0.000, 0.000, 0.000], [0.000, 0.000, 0.500], [0.333, 0.667, 0.250], [0.667, 0.333, 0.750], [0.000, 0.000, 0.250], [0.000, 0.000, 0.750], [0.333, 0.667, 0.098], [0.333, 0.667, 0.402], [0.667, 0.333, 0.598], [0.667, 0.333, 0.902]]}


Entry 8:
{"formula": "La3W2N7", "functional": "PBE", "state": "optimized geometry", "e_form_raw_mev_per_atom": -915, "total_magnetization_mub_per_cell": 0.000, "spacegroup": "Cmmm, No. 65", "mass_density_g_cm3": 8.5, "volume_a3_per_cell": 172, "dos_at_fermi_per_ev_cell": 1.777, "lattice_angstrom": [[2.014, -10.825, 0.000], [2.014, 10.825, 0.000], [0.000, 0.000, 3.934]], "species": ["La", "La", "La", "W", "W", "N", "N", "N", "N", "N", "N", "N"], "frac_coords": [[0.000, 0.000, 0.000], [0.176, 0.824, 0.000], [0.824, 0.176, 0.000], [0.403, 0.597, 0.500], [0.597, 0.403, 0.500], [0.094, 0.906, 0.500], [0.311, 0.689, 0.500], [0.405, 0.595, 0.000], [0.500, 0.500, 0.500], [0.595, 0.405, 0.000], [0.689, 0.311, 0.500], [0.906, 0.094, 0.500]]}